A relaxed structure of Rb3La2PuS6, computed with PBE.

a = 7.4103 Å, b = 7.4103 Å, c = 8.0537 Å
α = 98.82°, β = 98.82°, γ = 120.00°
Element x y z (fractional)
1 Rb 0.1673 0.8327 0.5000
2 Rb 0.8327 0.1673 0.5000
3 Rb 0.5000 0.5000 0.5000
4 La 0.3334 0.6666 0.0000
5 La 0.6666 0.3334 0.0000
6 Pu 0.0000 0.0000 0.0000
7 S 0.9350 0.6099 0.8049
8 S 0.7401 0.7401 0.1952
9 S 0.0650 0.3901 0.1951
10 S 0.6099 0.9350 0.8049
11 S 0.2599 0.2599 0.8048
12 S 0.3901 0.0650 0.1951

Output
E_form (uncorrected)   -170 kJ/mol of atoms
Electronic total energy   -73.05 eV per formula unit